Entry from Alexandria via LeMat-Bulk: crystalline Na2Li2PuO6 at its relaxed geometry (GGA-PBE).

Summary:
As for the total energy: -214.1 eV/cell. Its calculated volume is 14.359 A^3/atom.

The structure in CIF format:
```
data_Na2Li2PuO6
_cell_length_a 5.8854
_cell_length_b 5.8854
_cell_length_c 15.7964
_cell_angle_alpha 90.00
_cell_angle_beta 90.00
_cell_angle_gamma 120.00
_space_group_name_H-M_alt 'R -3 m'
_space_group_IT_number 166
_space_group_name_Hall '-R 3 2"'
loop_
_atom_site_label
_atom_site_type_symbol
_atom_site_fract_x
_atom_site_fract_y
_atom_site_fract_z
Na1 Na 0.0000 0.0000 0.2028
Li1 Li 0.0000 0.0000 0.4103
Pu1 Pu 0.0000 0.0000 0.0000
O1 O 0.0284 0.5142 0.7437
```